Version one
Compound: NaCa2Tc
Source: Alexandria via LeMat-Bulk
Functional: GGA-PBE
Structure: relaxed

a = 7.9514 Å, b = 7.9514 Å, c = 7.9575 Å
α = 60.03°, β = 60.03°, γ = 90.00°
Closest atoms and distances in Å follow each position.
Sites, in units of the cell vectors:
Na  0.5000  0.5000  0.0000  12 Ca 4.66-4.67, 4 Tc 4.87, 4 Na 4.87
Na  0.2500  0.7500  0.5000  12 Ca 4.66-4.67, 4 Tc 4.87, 4 Na 4.87
Ca  0.8759  0.1250  0.2500  2 Tc 2.44
Ca  0.8741  0.6250  0.2500  2 Tc 2.44
Ca  0.3750  0.1241  0.7500  2 Tc 2.44
Ca  0.8750  0.1259  0.7500  2 Tc 2.44
Tc  0.0000  0.0000  0.0000  4 Ca 2.44
Tc  0.7500  0.2500  0.5000  4 Ca 2.44

Computed properties:
- theoretical density (Mg/m³) = 1.9
- D(E_F) (states/eV per cell) = 5.99

---

Version two
Compound: NaCa2Tc
Source: Alexandria via LeMat-Bulk
Functional: GGA-PBE
Structure: relaxed

a = 5.3227 Å, b = 5.3227 Å, c = 5.3227 Å
α = 60.00°, β = 60.00°, γ = 60.00°
Closest atoms and distances in Å follow each position.
Sites, in units of the cell vectors:
Na  0.0000  0.0000  0.0000  8 Ca 3.26
Ca  0.2500  0.2500  0.2500  4 Tc 3.26, 4 Na 3.26
Ca  0.7500  0.7500  0.7500  4 Tc 3.26, 4 Na 3.26
Tc  0.5000  0.5000  0.5000  8 Ca 3.26

Computed properties:
- theoretical density (Mg/m³) = 3.1
- D(E_F) (states/eV per cell) = 6.54

---

Going by the energies, version two is most stable and the next is 0.551 eV/atom up.

---

Version one
Compound: NaCa2Th
Source: Alexandria via LeMat-Bulk
Functional: GGA-PBE
Structure: relaxed

a = 3.6428 Å, b = 3.6428 Å, c = 11.1175 Å
α = 90.00°, β = 90.00°, γ = 90.00°
Closest atoms and distances in Å follow each position.
Sites, in units of the cell vectors:
Na  0.5000  0.5000  0.5000  4 Na 3.64, 8 Ca 3.87
Ca  0.0000  0.0000  0.7599  4 Ca 3.64, 4 Th 3.71, 4 Na 3.87
Ca  0.0000  0.0000  0.2401  4 Ca 3.64, 4 Th 3.71, 4 Na 3.87
Th  0.5000  0.5000  0.0000  4 Th 3.64, 8 Ca 3.71

Computed properties:
- theoretical density (Mg/m³) = 3.8
- D(E_F) (states/eV per cell) = 4.47

---

Version two
Compound: NaCa2Th
Source: Alexandria via LeMat-Bulk
Functional: GGA-PBE
Structure: relaxed

a = 3.5490 Å, b = 3.5490 Å, c = 13.6684 Å
α = 82.54°, β = 82.54°, γ = 60.00°
Closest atoms and distances in Å follow each position.
Sites, in units of the cell vectors:
Na  0.5000  0.5000  0.5000  6 Na 3.55, 6 Ca 3.85
Ca  0.0864  0.0864  0.7408  1 Th 3.50, 6 Ca 3.55, 3 Na 3.85
Ca  0.9136  0.9136  0.2592  1 Th 3.50, 6 Ca 3.55, 3 Na 3.85
Th  0.0000  0.0000  0.0000  2 Ca 3.50, 6 Th 3.55

Computed properties:
- theoretical density (Mg/m³) = 3.8
- D(E_F) (states/eV per cell) = 3.57

---

Going by the energies, version one is most stable and the next is 0.135 eV/atom up.

---

Version one
Compound: NaCa2Ti
Source: Alexandria via LeMat-Bulk
Functional: GGA-PBE
Structure: relaxed

a = 8.7175 Å, b = 8.7175 Å, c = 7.0816 Å
α = 52.01°, β = 52.01°, γ = 90.00°
Closest atoms and distances in Å follow each position.
Sites, in units of the cell vectors:
Na  0.5000  0.5000  0.0000  4 Ca 3.18, 2 Ti 3.49
Na  0.2500  0.7500  0.5000  4 Ca 3.18, 2 Ti 3.49
Ca  0.6216  0.1250  0.2500  2 Na 3.18, 2 Ti 3.22, 2 Ca 3.49
Ca  0.1284  0.6250  0.2500  2 Na 3.18, 2 Ti 3.22, 2 Ca 3.49
Ca  0.3750  0.3784  0.7500  2 Na 3.18, 2 Ti 3.22, 2 Ca 3.49
Ca  0.8750  0.8716  0.7500  2 Na 3.18, 2 Ti 3.22, 2 Ca 3.49
Ti  0.0000  0.0000  0.0000  4 Ca 3.22, 2 Na 3.49
Ti  0.7500  0.2500  0.5000  4 Ca 3.22, 2 Na 3.49

Computed properties:
- theoretical density (Mg/m³) = 1.9
- D(E_F) (states/eV per cell) = 11.13

---

Version two
Compound: NaCa2Ti
Source: Alexandria via LeMat-Bulk
Functional: GGA-PBE
Structure: relaxed

a = 5.6983 Å, b = 5.6983 Å, c = 5.6983 Å
α = 60.00°, β = 60.00°, γ = 60.00°
Closest atoms and distances in Å follow each position.
Sites, in units of the cell vectors:
Na  0.0000  0.0000  0.0000  8 Ca 3.49
Ca  0.2500  0.2500  0.2500  4 Na 3.49, 4 Ti 3.49
Ca  0.7500  0.7500  0.7500  4 Na 3.49, 4 Ti 3.49
Ti  0.5000  0.5000  0.5000  8 Ca 3.49

Computed properties:
- theoretical density (Mg/m³) = 1.9
- D(E_F) (states/eV per cell) = 9.82

---

Going by the energies, version two is most stable and the next is 0.197 eV/atom up.

---

Version one
Compound: Na2CaTi
Source: Alexandria via LeMat-Bulk
Functional: GGA-PBE
Structure: relaxed

a = 8.9692 Å, b = 8.9692 Å, c = 7.1207 Å
α = 50.96°, β = 50.96°, γ = 90.00°
Closest atoms and distances in Å follow each position.
Sites, in units of the cell vectors:
Na  0.6438  0.1250  0.2500  2 Ti 3.16, 2 Na 3.26, 2 Ca 3.39
Na  0.1062  0.6250  0.2500  2 Ti 3.16, 2 Na 3.26, 2 Ca 3.39
Na  0.3750  0.3562  0.7500  2 Ti 3.16, 2 Na 3.26, 2 Ca 3.39
Na  0.8750  0.8938  0.7500  2 Ti 3.16, 2 Na 3.26, 2 Ca 3.39
Ca  0.5000  0.5000  0.0000  2 Ti 3.24, 4 Na 3.39
Ca  0.2500  0.7500  0.5000  2 Ti 3.24, 4 Na 3.39
Ti  0.0000  0.0000  0.0000  4 Na 3.16, 2 Ca 3.24
Ti  0.7500  0.2500  0.5000  4 Na 3.16, 2 Ca 3.24

Computed properties:
- theoretical density (Mg/m³) = 1.7
- D(E_F) (states/eV per cell) = 13.64

---

Version two
Compound: Na2CaTi
Source: Alexandria via LeMat-Bulk
Functional: GGA-PBE
Structure: relaxed

a = 5.5696 Å, b = 5.5696 Å, c = 5.5696 Å
α = 60.00°, β = 60.00°, γ = 60.00°
Closest atoms and distances in Å follow each position.
Sites, in units of the cell vectors:
Na  0.2500  0.2500  0.2500  4 Ca 3.41, 4 Ti 3.41
Na  0.7500  0.7500  0.7500  4 Ti 3.41, 4 Ca 3.41
Ca  0.0000  0.0000  0.0000  8 Na 3.41
Ti  0.5000  0.5000  0.5000  8 Na 3.41

Computed properties:
- theoretical density (Mg/m³) = 1.8
- D(E_F) (states/eV per cell) = 3.97

---

Going by the energies, version two is most stable and the next is 0.132 eV/atom up.

---

Version one
Compound: NaCaTi3
Source: Alexandria via LeMat-Bulk
Functional: GGA-PBE
Structure: relaxed

a = 5.0043 Å, b = 5.0043 Å, c = 5.0043 Å
α = 90.00°, β = 90.00°, γ = 90.00°
Closest atoms and distances in Å follow each position.
Sites, in units of the cell vectors:
Na  0.5000  0.5000  0.5000  12 Ti 3.54
Ca  0.0000  0.0000  0.0000  6 Ti 2.50
Ti  0.0000  0.5000  0.0000  2 Ca 2.50
Ti  0.0000  0.0000  0.5000  2 Ca 2.50
Ti  0.5000  0.0000  0.0000  2 Ca 2.50

Computed properties:
- theoretical density (Mg/m³) = 2.7
- D(E_F) (states/eV per cell) = 23.03

---

Version two
Compound: NaCaTi3
Source: Alexandria via LeMat-Bulk
Functional: GGA-PBE
Structure: relaxed

a = 4.9544 Å, b = 4.9544 Å, c = 4.9544 Å
α = 90.00°, β = 90.00°, γ = 90.00°
Closest atoms and distances in Å follow each position.
Sites, in units of the cell vectors:
Na  0.0000  0.0000  0.0000  6 Ti 2.48
Ca  0.5000  0.5000  0.5000  12 Ti 3.50
Ti  0.0000  0.5000  0.0000  2 Na 2.48
Ti  0.0000  0.0000  0.5000  2 Na 2.48
Ti  0.5000  0.0000  0.0000  2 Na 2.48

Computed properties:
- theoretical density (Mg/m³) = 2.8
- D(E_F) (states/eV per cell) = 7.75

---

Going by the energies, version two is most stable and the next is 0.286 eV/atom up.

---

Version one
Compound: NaCa2YTi
Source: Alexandria via LeMat-Bulk
Functional: GGA-PBE
Structure: relaxed

a = 5.7401 Å, b = 5.5165 Å, c = 5.7401 Å
α = 90.00°, β = 90.00°, γ = 90.00°
Closest atoms and distances in Å follow each position.
Sites, in units of the cell vectors:
Y  0.5000  0.5000  0.5000  8 Ca 3.98, 4 Na 4.06
Na  0.0000  0.5000  0.0000  2 Ti 2.76
Ca  0.0000  0.0000  0.5000  2 Ti 2.87
Ca  0.5000  0.0000  0.0000  2 Ti 2.87
Ti  0.0000  0.0000  0.0000  2 Na 2.76, 4 Ca 2.87

Computed properties:
- theoretical density (Mg/m³) = 2.2
- D(E_F) (states/eV per cell) = 6.12

---

Version two
Compound: NaCa2YTi
Source: Alexandria via LeMat-Bulk
Functional: GGA-PBE
Structure: relaxed

a = 5.5955 Å, b = 5.8575 Å, c = 5.5955 Å
α = 90.00°, β = 90.00°, γ = 90.00°
Closest atoms and distances in Å follow each position.
Sites, in units of the cell vectors:
Y  0.0000  0.5000  0.0000  2 Na 2.93
Na  0.0000  0.0000  0.0000  4 Ca 2.80, 2 Y 2.93
Ca  0.0000  0.0000  0.5000  2 Na 2.80
Ca  0.5000  0.0000  0.0000  2 Na 2.80
Ti  0.5000  0.5000  0.5000  4 Y 3.96, 8 Ca 4.05

Computed properties:
- theoretical density (Mg/m³) = 2.2
- D(E_F) (states/eV per cell) = 5.13

---

Going by the energies, version one is most stable and the next is 0.127 eV/atom up.

---

Version one
Compound: Na2CaTl2
Source: Alexandria via LeMat-Bulk
Functional: GGA-PBE
Structure: relaxed

a = 8.7847 Å, b = 8.7847 Å, c = 4.0148 Å
α = 90.00°, β = 90.00°, γ = 90.00°
Closest atoms and distances in Å follow each position.
Sites, in units of the cell vectors:
Na  0.1581  0.6581  0.5000  6 Tl 3.23-3.29
Na  0.6581  0.8419  0.5000  6 Tl 3.23-3.29
Na  0.8419  0.3419  0.5000  6 Tl 3.23-3.29
Na  0.3419  0.1581  0.5000  6 Tl 3.23-3.29
Tl  0.3613  0.8613  0.0000  6 Na 3.23-3.29, 2 Ca 3.40, 1 Tl 3.45
Tl  0.8613  0.6387  0.0000  6 Na 3.23-3.29, 2 Ca 3.40, 1 Tl 3.45
Tl  0.6387  0.1387  0.0000  6 Na 3.23-3.29, 2 Ca 3.40, 1 Tl 3.45
Tl  0.1387  0.3613  0.0000  6 Na 3.23-3.29, 2 Ca 3.40, 1 Tl 3.45
Ca  0.0000  0.0000  0.0000  4 Tl 3.40
Ca  0.5000  0.5000  0.0000  4 Tl 3.40

Computed properties:
- theoretical density (Mg/m³) = 5.3
- D(E_F) (states/eV per cell) = 6.58

---

Version two
Compound: Na2CaTl2
Source: Alexandria via LeMat-Bulk
Functional: GGA-PBE
Structure: relaxed

a = 4.3997 Å, b = 4.3997 Å, c = 8.4799 Å
α = 74.96°, β = 74.96°, γ = 90.00°
Closest atoms and distances in Å follow each position.
Sites, in units of the cell vectors:
Na  0.7500  0.2500  0.5000  4 Na 3.11, 4 Tl 3.23
Na  0.2500  0.7500  0.5000  4 Na 3.11, 4 Tl 3.23
Tl  0.4003  0.4003  0.1994  1 Tl 3.15, 4 Na 3.23, 4 Ca 3.49
Tl  0.5997  0.5997  0.8006  1 Tl 3.15, 4 Na 3.23, 4 Ca 3.49
Ca  0.0000  0.0000  0.0000  8 Tl 3.49

Computed properties:
- theoretical density (Mg/m³) = 5.4
- D(E_F) (states/eV per cell) = 2.82

---

Going by the energies, version two is most stable and the next is 0.013 eV/atom up.

---

Version one
Compound: Na2CaTl2
Source: Alexandria via LeMat-Bulk
Functional: GGA-PBE
Structure: relaxed

a = 3.8473 Å, b = 4.0151 Å, c = 10.4222 Å
α = 78.89°, β = 90.00°, γ = 90.00°
Closest atoms and distances in Å follow each position.
Sites, in units of the cell vectors:
Na  0.0000  0.1799  0.6402  4 Tl 3.30, 2 Na 3.50, 1 Ca 3.68
Na  0.0000  0.8201  0.3598  4 Tl 3.30, 2 Na 3.50, 1 Ca 3.68
Ca  0.0000  0.0000  0.0000  8 Tl 3.37, 2 Na 3.68
Tl  0.5000  0.4071  0.1859  4 Na 3.30, 4 Ca 3.37
Tl  0.5000  0.5929  0.8141  4 Na 3.30, 4 Ca 3.37

Computed properties:
- theoretical density (Mg/m³) = 5.2
- D(E_F) (states/eV per cell) = 1.31

---

Version two
Compound: Na2CaTl2
Source: Alexandria via LeMat-Bulk
Functional: GGA-PBE
Structure: relaxed

a = 5.1737 Å, b = 3.8350 Å, c = 15.9858 Å
α = 96.89°, β = 99.31°, γ = 90.00°
Closest atoms and distances in Å follow each position.
Sites, in units of the cell vectors:
Na  0.5433  0.2933  0.0866  2 Tl 3.22, 6 Na 3.28-3.32
Na  0.9363  0.1863  0.8725  2 Tl 3.24, 4 Na 3.28
Na  0.4567  0.7067  0.9134  2 Tl 3.22, 6 Na 3.28-3.32
Na  0.0637  0.8137  0.1275  2 Tl 3.24, 4 Na 3.28
Ca  0.8220  0.5720  0.6439  10 Tl 3.53-3.61, 2 Ca 3.83
Ca  0.1780  0.4280  0.3561  10 Tl 3.53-3.61, 2 Ca 3.83
Tl  0.7243  0.9743  0.4486  3 Tl 3.05-3.08
Tl  0.2757  0.0257  0.5514  3 Tl 3.05-3.08
Tl  0.3740  0.1240  0.7481  1 Tl 3.08, 4 Na 3.22-3.24
Tl  0.6260  0.8760  0.2519  1 Tl 3.08, 4 Na 3.22-3.24

Computed properties:
- theoretical density (Mg/m³) = 5.3
- D(E_F) (states/eV per cell) = 4.76

---

Version three
Compound: Na2CaTl2
Source: Alexandria via LeMat-Bulk
Functional: GGA-PBE
Structure: relaxed

a = 8.9256 Å, b = 8.9256 Å, c = 3.6772 Å
α = 90.00°, β = 90.00°, γ = 90.00°
Closest atoms and distances in Å follow each position.
Sites, in units of the cell vectors:
Na  0.3805  0.8805  0.0000  1 Na 3.02, 6 Tl 3.12-3.30
Na  0.8805  0.6195  0.0000  1 Na 3.02, 6 Tl 3.12-3.30
Na  0.6195  0.1195  0.0000  1 Na 3.02, 6 Tl 3.12-3.30
Na  0.1195  0.3805  0.0000  1 Na 3.02, 6 Tl 3.12-3.30
Tl  0.1813  0.6813  0.5000  6 Na 3.12-3.30
Tl  0.6813  0.8187  0.5000  6 Na 3.12-3.30
Tl  0.8187  0.3187  0.5000  6 Na 3.12-3.30
Tl  0.3187  0.1813  0.5000  6 Na 3.12-3.30
Ca  0.0000  0.0000  0.0000  4 Na 3.56, 2 Ca 3.68, 8 Tl 3.75
Ca  0.5000  0.5000  0.0000  4 Na 3.56, 2 Ca 3.68, 8 Tl 3.75

Computed properties:
- theoretical density (Mg/m³) = 5.6
- D(E_F) (states/eV per cell) = 3.80

---

Going by the energies, version one is most stable and the next is 0.051 eV/atom up.